Record 1
DFT (PBE-GGA) results for a geometry-optimized TcIr2Cl structure.

Output
Formation energy from raw total energies: 0.871 eV/atom
Total magnetization: 0.00 μB per formula unit
E_tot: -6.613 eV per atom
ΔE to the lowest computed polymorph: 0.5629 eV/atom

```
data_TcIr2Cl
_space_group_name_H-M_alt 'P 1'
_space_group_IT_number 1
_cell_length_a 4.485
_cell_length_b 4.485
_cell_length_c 4.485
_cell_angle_alpha 123.23
_cell_angle_beta 123.23
_cell_angle_gamma 84.49
loop_
_space_group_symop_operation_xyz
'x,y,z'
loop_
_atom_site_label
_atom_site_type_symbol
_atom_site_fract_x
_atom_site_fract_y
_atom_site_fract_z
Tc1 Tc 0.000 0.000 0.000
Ir1 Ir 0.500 0.500 0.000
Ir2 Ir 0.750 0.250 0.500
Cl1 Cl 0.250 0.750 0.500
```

=====

Record 2
DFT (PBE-GGA) results for a geometry-optimized Tc2IrCl structure.

Output
Formation energy from raw total energies: 0.274 eV/atom
Total magnetization: 0.00 μB per formula unit
E_tot: -7.586 eV per atom
ΔE to the lowest computed polymorph: 0.0205 eV/atom

```
data_Tc2IrCl
_space_group_name_H-M_alt 'P 1'
_space_group_IT_number 1
_cell_length_a 8.620
_cell_length_b 8.620
_cell_length_c 8.620
_cell_angle_alpha 18.87
_cell_angle_beta 18.87
_cell_angle_gamma 18.87
loop_
_space_group_symop_operation_xyz
'x,y,z'
loop_
_atom_site_label
_atom_site_type_symbol
_atom_site_fract_x
_atom_site_fract_y
_atom_site_fract_z
Tc1 Tc 0.248 0.248 0.248
Tc2 Tc 0.752 0.752 0.752
Ir1 Ir 0.000 0.000 0.000
Cl1 Cl 0.500 0.500 0.500
```

=====

Record 3
DFT (PBE-GGA) results for a geometry-optimized Tc2IrCl structure.

Output
Formation energy from raw total energies: 0.572 eV/atom
Total magnetization: 0.00 μB per formula unit
E_tot: -7.288 eV per atom
ΔE to the lowest computed polymorph: 0.3182 eV/atom

```
data_Tc2IrCl
_space_group_name_H-M_alt 'P 1'
_space_group_IT_number 1
_cell_length_a 4.118
_cell_length_b 4.118
_cell_length_c 5.650
_cell_angle_alpha 98.66
_cell_angle_beta 98.66
_cell_angle_gamma 39.56
loop_
_space_group_symop_operation_xyz
'x,y,z'
loop_
_atom_site_label
_atom_site_type_symbol
_atom_site_fract_x
_atom_site_fract_y
_atom_site_fract_z
Tc1 Tc 0.249 0.249 0.269
Tc2 Tc 0.751 0.751 0.731
Ir1 Ir 0.500 0.500 0.000
Cl1 Cl 0.000 0.000 0.500
```

=====

Record 4
DFT (PBE-GGA) results for a geometry-optimized TcIr2Cl structure.

Output
Formation energy from raw total energies: 0.566 eV/atom
Total magnetization: 0.33 μB per formula unit
E_tot: -6.918 eV per atom
ΔE to the lowest computed polymorph: 0.2576 eV/atom

```
data_TcIr2Cl
_space_group_name_H-M_alt 'P 1'
_space_group_IT_number 1
_cell_length_a 2.818
_cell_length_b 2.818
_cell_length_c 9.148
_cell_angle_alpha 90.00
_cell_angle_beta 90.00
_cell_angle_gamma 121.27
loop_
_space_group_symop_operation_xyz
'x,y,z'
loop_
_atom_site_label
_atom_site_type_symbol
_atom_site_fract_x
_atom_site_fract_y
_atom_site_fract_z
Tc1 Tc 0.000 0.000 0.000
Ir1 Ir 0.500 0.500 0.243
Ir2 Ir 0.500 0.500 0.757
Cl1 Cl 0.000 0.000 0.500
```